a:
Crystalline NaDy2Te3 at its relaxed geometry. Source: Alexandria via LeMat-Bulk, functional PBE.

a = 4.223 Å, b = 7.506 Å, c = 12.235 Å
α = 90.00°, β = 90.00°, γ = 90.00°
Atoms (fractional coordinates):
1 Te 0.500 0.181 0.069
2 Te 0.000 0.765 0.607
3 Te 0.000 0.265 0.393
4 Te 0.500 0.742 0.295
5 Te 0.500 0.681 0.931
6 Te 0.500 0.242 0.705
7 Na 0.000 0.500 0.127
8 Na 0.000 0.000 0.873
9 Dy 0.500 0.006 0.495
10 Dy 0.000 0.007 0.208
11 Dy 0.000 0.507 0.792
12 Dy 0.500 0.506 0.505

Total moment: 0.0 Bohr magnetons per cell
V: 193.91 Å³/f.u.

b:
Crystalline NaDy2Te3 at its relaxed geometry. Source: Alexandria via LeMat-Bulk, functional PBE.

a = 4.369 Å, b = 6.222 Å, c = 7.682 Å
α = 113.89°, β = 106.52°, γ = 90.00°
Atoms (fractional coordinates):
1 Te 0.171 0.671 0.843
2 Te 0.500 0.000 0.500
3 Te 0.829 0.329 0.157
4 Dy 0.164 0.164 0.828
5 Dy 0.836 0.836 0.172
6 Na 0.500 0.500 0.500

Total moment: 0.0 Bohr magnetons per cell
V: 181.46 Å³/f.u.

Name the least stable of them. a.

a:
Crystalline NaDy2Th at its relaxed geometry. Source: Alexandria via LeMat-Bulk, functional PBE.

a = 3.573 Å, b = 3.573 Å, c = 10.403 Å
α = 90.00°, β = 90.00°, γ = 90.00°
Atoms (fractional coordinates):
1 Dy 0.000 0.000 0.225
2 Dy 0.000 0.000 0.775
3 Na 0.500 0.500 0.500
4 Th 0.500 0.500 0.000

Total moment: 0.0 Bohr magnetons per cell
V: 132.81 Å³/f.u.

b:
Crystalline NaDy2Th at its relaxed geometry. Source: Alexandria via LeMat-Bulk, functional PBE.

a = 3.545 Å, b = 3.545 Å, c = 12.706 Å
α = 81.98°, β = 81.98°, γ = 60.00°
Atoms (fractional coordinates):
1 Dy 0.093 0.093 0.720
2 Dy 0.907 0.907 0.280
3 Th 0.500 0.500 0.500
4 Na 0.000 0.000 0.000

Total moment: 0.0 Bohr magnetons per cell
V: 136.51 Å³/f.u.

Name the least stable of them. b.

a:
Crystalline NaDyTh at its relaxed geometry. Source: Alexandria via LeMat-Bulk, functional PBE.

a = 3.523 Å, b = 3.523 Å, c = 9.276 Å
α = 90.00°, β = 90.00°, γ = 120.00°
Atoms (fractional coordinates):
1 Dy 0.333 0.667 0.652
2 Na 0.000 0.000 0.997
3 Th 0.667 0.333 0.351

Total moment: 0.0 Bohr magnetons per cell
V: 99.69 Å³/f.u.

b:
Crystalline NaDyTh at its relaxed geometry. Source: Alexandria via LeMat-Bulk, functional PBE.

a = 6.591 Å, b = 6.629 Å, c = 6.381 Å
α = 75.12°, β = 58.91°, γ = 60.19°
Atoms (fractional coordinates):
1 Dy 0.326 0.000 0.347
2 Dy 0.674 0.000 0.653
3 Th 0.250 0.500 0.500
4 Th 0.750 0.500 0.500
5 Na 0.875 0.250 0.000
6 Na 0.125 0.750 0.000

Total moment: 0.0 Bohr magnetons per cell
V: 103.59 Å³/f.u.

Name the least stable of them. b.

a:
Crystalline NaDyTl2 at its relaxed geometry. Source: Alexandria via LeMat-Bulk, functional PBE.

a = 3.644 Å, b = 3.644 Å, c = 10.428 Å
α = 79.94°, β = 79.94°, γ = 60.00°
Atoms (fractional coordinates):
1 Na 0.500 0.500 0.500
2 Tl 0.250 0.250 0.249
3 Tl 0.083 0.083 0.751
4 Dy 0.667 0.667 0.000

Total moment: 0.0 Bohr magnetons per cell
V: 117.44 Å³/f.u.

b:
Crystalline NaDyTl2 at its relaxed geometry. Source: Alexandria via LeMat-Bulk, functional PBE.

a = 5.334 Å, b = 5.334 Å, c = 5.334 Å
α = 60.00°, β = 60.00°, γ = 60.00°
Atoms (fractional coordinates):
1 Na 0.000 0.000 0.000
2 Dy 0.500 0.500 0.500
3 Tl 0.250 0.250 0.250
4 Tl 0.750 0.750 0.750

Total moment: 0.0 Bohr magnetons per cell
V: 107.33 Å³/f.u.

Name the least stable of them. a.